No. 1
DFT (PBE) results for crystalline BeIn2Ag2 at its relaxed geometry.

The size of the total moment comes out at 0.0000 μB/atom. As for the crystal system: tetragonal. The value obtained for the total DFT energy (no corrections) is -2.7049 eV per atom. The formation energy comes out at 276 meV per atom.

The space group is P4/mbm (No. 127) and the conventional cell measures 6.607, 6.607 and 4.563 Å, with angles of 90.00, 90.00 and 90.00 degrees. The distinct sites, in fractional coordinates, are Be at (0.000, 0.000, 0.000), In at (0.165, 0.335, 0.500) and Ag at (0.159, 0.659, 0.000).

---

No. 2
DFT (PBE) results for crystalline BeIn2Ag at its relaxed geometry.

The size of the total moment comes out at 0.0000 μB/atom. As for the crystal system: tetragonal. The value obtained for the total DFT energy (no corrections) is -2.6854 eV per atom. The formation energy comes out at 328 meV per atom.

The space group is I-42d (No. 122) and the conventional cell measures 8.736, 8.736 and 4.732 Å, with angles of 90.00, 90.00 and 90.00 degrees. The distinct sites, in fractional coordinates, are Be at (0.000, 0.000, 0.000), In at (0.119, 0.250, 0.125) and Ag at (0.000, 0.000, 0.500).

---

No. 3
DFT (PBE) results for crystalline Be3InAg at its relaxed geometry.

The size of the total moment comes out at 0.0000 μB/atom. As for the crystal system: cubic. The value obtained for the total DFT energy (no corrections) is -2.5701 eV per atom. The formation energy comes out at 784 meV per atom.

The space group is Pm-3m (No. 221) and the conventional cell measures 4.400, 4.400 and 4.400 Å, with angles of 90.00, 90.00 and 90.00 degrees. The distinct sites, in fractional coordinates, are Be at (0.000, 0.000, 0.500), In at (0.500, 0.500, 0.500) and Ag at (0.000, 0.000, 0.000).

---

Please write out number 1 again, unchanged.
DFT (PBE) results for crystalline BeIn2Ag2 at its relaxed geometry.

The size of the total moment comes out at 0.0000 μB/atom. As for the crystal system: tetragonal. The value obtained for the total DFT energy (no corrections) is -2.7049 eV per atom. The formation energy comes out at 276 meV per atom.

The space group is P4/mbm (No. 127) and the conventional cell measures 6.607, 6.607 and 4.563 Å, with angles of 90.00, 90.00 and 90.00 degrees. The distinct sites, in fractional coordinates, are Be at (0.000, 0.000, 0.000), In at (0.165, 0.335, 0.500) and Ag at (0.159, 0.659, 0.000).